Entry 1:
! MnIrRh2 GGA-PBE relaxed; values from VASP
! calculated formation energy = -0.074 eV/atom
! space group = Pm (6)
! spin magnetization = 2.55 Bohr magnetons per cell
&SYSTEM
  ibrav = 0, nat = 4, ntyp = 3
/
ATOMIC_SPECIES
Ir 192.22 Ir.upf
Mn 54.94 Mn.upf
Rh 102.91 Rh.upf
CELL_PARAMETERS angstrom
3.765 0.000 0.000
0.000 2.732 0.203
0.000 2.325 5.601
ATOMIC_POSITIONS angstrom
Ir 0.000 2.531 2.920
Mn 1.882 3.795 4.342
Rh 0.000 2.323 5.577
Rh 1.882 1.263 1.467

=====

Entry 2:
! PrHo8Sc4 GGA-PBE relaxed; values from VASP
! calculated formation energy = 0.243 eV/atom
! space group = R-3m (166)
! spin magnetization = 0.00 Bohr magnetons per cell
&SYSTEM
  ibrav = 0, nat = 13, ntyp = 3
/
ATOMIC_SPECIES
Pr 140.91 Pr.upf
Ho 164.93 Ho.upf
Sc 44.96 Sc.upf
CELL_PARAMETERS angstrom
-6.229 -2.822 -1.893
2.556 -1.099 6.527
-0.849 9.498 1.932
ATOMIC_POSITIONS angstrom
Pr 0.854 4.199 4.230
Ho -1.793 0.809 4.695
Ho -2.728 4.767 1.871
Ho -2.697 1.103 1.242
Ho -6.035 3.806 0.884
Ho -1.825 4.472 5.325
Ho -4.629 3.202 4.473
Ho 0.107 2.374 2.094
Ho 1.513 1.770 5.683
Sc 0.000 0.000 0.000
Sc 1.278 -0.550 3.264
Sc -1.836 -1.961 2.317
Sc -3.114 -1.411 -0.946

=====

Entry 3:
! K2ScUS4 GGA-PBE relaxed; values from VASP
! space group = P2/m (10)
! spin magnetization = 3.01 Bohr magnetons per cell
&SYSTEM
  ibrav = 0, nat = 8, ntyp = 4
/
ATOMIC_SPECIES
K 39.10 K.upf
Sc 44.96 Sc.upf
U 238.03 U.upf
S 32.06 S.upf
CELL_PARAMETERS angstrom
-3.204 0.778 -2.191
2.302 -4.186 -4.853
-4.315 -4.238 4.805
ATOMIC_POSITIONS angstrom
K -3.759 -1.730 1.307
K -1.006 -4.212 -0.024
Sc 0.000 0.000 0.000
U -0.451 -1.704 -3.522
S -1.934 -1.373 -1.235
S -3.283 -6.273 -1.003
S -2.856 -4.455 2.594
S 0.843 -3.968 -2.642

=====

Entry 4:
! Tb4Tm3Sc GGA-PBE relaxed; values from VASP
! calculated formation energy = 0.099 eV/atom
! ΔE to the lowest computed polymorph = 83 meV per atom
! space group = I4/mcm (140)
! spin magnetization = 0.00 Bohr magnetons per cell
&SYSTEM
  ibrav = 0, nat = 16, ntyp = 3
/
ATOMIC_SPECIES
Sc 44.96 Sc.upf
Tm 168.93 Tm.upf
Tb 158.93 Tb.upf
CELL_PARAMETERS angstrom
-4.735 -6.004 -4.282
2.727 3.302 -7.646
5.908 -2.559 6.024
ATOMIC_POSITIONS angstrom
Sc 0.000 0.000 0.000
Sc -1.004 -1.351 -5.964
Tm 1.448 -3.306 -5.934
Tm 2.452 -1.955 0.030
Tm -3.073 -3.951 -6.332
Tm 1.065 1.250 -5.595
Tm -0.749 -1.082 -9.287
Tm -1.259 -1.619 -2.641
Tb 4.371 -1.393 -5.574
Tb 4.974 -0.581 -1.991
Tb 2.062 -4.242 -2.606
Tb -0.179 -7.038 -1.595
Tb -0.471 -3.868 -0.330
Tb -1.074 -4.679 -3.913
Tb 1.837 -1.018 -3.298
Tb 4.079 1.778 -4.309

=====

Entry 5:
! AcFeCoC2 GGA-PBE relaxed; values from VASP
! calculated formation energy = -0.111 eV/atom
! space group = I-4m2 (119)
! spin magnetization = 0.00 Bohr magnetons per cell
&SYSTEM
  ibrav = 0, nat = 5, ntyp = 4
/
ATOMIC_SPECIES
Ac 227.00 Ac.upf
Fe 55.84 Fe.upf
Co 58.93 Co.upf
C 12.01 C.upf
CELL_PARAMETERS angstrom
3.461 0.000 0.000
0.000 3.461 0.000
-1.731 -1.731 5.418
ATOMIC_POSITIONS angstrom
Ac 0.000 0.000 0.000
Fe 1.731 0.000 2.709
Co 0.000 1.731 2.709
C 1.731 1.731 1.797
C 0.000 0.000 3.621

=====

Entry 6:
! Zr2CrSe GGA-PBE relaxed; values from VASP
! space group = F-43m (216)
! spin magnetization = 0.90 Bohr magnetons per cell
&SYSTEM
  ibrav = 0, nat = 4, ntyp = 3
/
ATOMIC_SPECIES
Cr 52.00 Cr.upf
Se 78.96 Se.upf
Zr 91.22 Zr.upf
CELL_PARAMETERS angstrom
4.753 0.000 0.000
2.376 4.116 0.000
2.376 1.372 3.880
ATOMIC_POSITIONS angstrom
Cr 4.753 2.744 1.940
Se 2.376 1.372 0.970
Zr 0.000 0.000 0.000
Zr 7.129 4.116 2.910

=====

Entry 7:
! Dy2CuSe2O2 GGA-PBE relaxed; values from VASP
! space group = P-3m1 (164)
! spin magnetization = 0.00 Bohr magnetons per cell
&SYSTEM
  ibrav = 0, nat = 7, ntyp = 4
/
ATOMIC_SPECIES
Dy 162.50 Dy.upf
Cu 63.55 Cu.upf
Se 78.96 Se.upf
O 16.00 O.upf
CELL_PARAMETERS angstrom
3.812 0.000 0.000
-1.906 3.301 0.000
0.000 0.000 11.366
ATOMIC_POSITIONS angstrom
Dy 1.906 1.100 4.235
Dy 0.000 2.201 7.131
Cu 0.000 0.000 0.000
Se 0.000 0.000 9.136
Se 0.000 0.000 2.229
O 1.906 1.100 6.552
O 0.000 2.201 4.814

=====

Entry 8:
! Dy6ZnCd3 GGA-PBE relaxed; values from VASP
! calculated formation energy = -0.219 eV/atom
! space group = P2_1/m (11)
! spin magnetization = 0.00 Bohr magnetons per cell
&SYSTEM
  ibrav = 0, nat = 20, ntyp = 3
/
ATOMIC_SPECIES
Dy 162.50 Dy.upf
Zn 65.41 Zn.upf
Cd 112.41 Cd.upf
CELL_PARAMETERS angstrom
-3.862 3.546 -0.547
-4.807 -4.229 6.524
6.687 8.051 4.977
ATOMIC_POSITIONS angstrom
Dy -2.625 -0.383 3.353
Dy 0.643 7.750 7.601
Dy -0.542 1.604 1.520
Dy -1.440 5.764 9.434
Dy 0.320 3.474 7.558
Dy -2.302 3.893 3.396
Dy 1.208 3.871 3.865
Dy -3.190 3.496 7.089
Dy -2.924 -0.146 7.003
Dy 0.942 7.513 3.952
Dy 4.355 7.449 4.835
Dy -6.337 -0.081 6.119
Zn -1.565 1.656 9.085
Zn -0.417 5.711 1.869
Cd -0.989 1.681 5.179
Cd -0.994 5.686 5.775
Cd 2.371 5.511 6.283
Cd -4.354 1.856 4.672
Cd 1.832 5.458 9.748
Cd -3.814 1.909 1.206

=====

Respective raw total energy values: -8.258 -4.890 -6.093 -4.685 -7.736 -7.332 -6.388 -3.382 eV per atom.
Respective density of states at the Fermi level values: 1.33 1.31 0.72 1.27 0.30 1.35 0.42 1.02 states/eV per atom.